Entry 1:
# Pm3CdCu8 (GGA-PBE, optimized geometry)
# E_form, eV per atom: -0.148
# Density, g/cm³: 8.5
data_Pm3CdCu8
_cell_length_a 5.2569
_cell_length_b 5.2569
_cell_length_c 25.8464
_cell_angle_alpha 90.00
_cell_angle_beta 90.00
_cell_angle_gamma 120.00
_symmetry_space_group_name_H-M 'R 3 m'
_symmetry_Int_Tables_number 160
_symmetry_space_group_name_Hall 'R 3 -2"'
loop_
_atom_site_label
_atom_site_type_symbol
_atom_site_fract_x
_atom_site_fract_y
_atom_site_fract_z
Pm1 Pm 0.0000 0.0000 0.0000
Pm2 Pm 0.0000 0.0000 0.1258
Pm3 Pm 0.0000 0.0000 0.6155
Cd1 Cd 0.0000 0.0000 0.4930
Cu1 Cu 0.0000 0.0000 0.3077
Cu2 Cu 0.0000 0.0000 0.8098
Cu3 Cu 0.0018 0.5009 0.0597
Cu4 Cu 0.0074 0.5037 0.5578


Entry 2:
# Pm2CdCu3 (GGA-PBE, optimized geometry)
# E_form, eV per atom: -0.191
# Density, g/cm³: 7.5
# Distance to the lowest polymorph of the same formula, kJ/mol of formula units: 0
data_Pm2CdCu3
_cell_length_a 3.9533
_cell_length_b 3.9631
_cell_length_c 16.7476
_cell_angle_alpha 90.00
_cell_angle_beta 90.00
_cell_angle_gamma 90.00
_symmetry_space_group_name_H-M 'I m m 2'
_symmetry_Int_Tables_number 44
_symmetry_space_group_name_Hall 'I 2 -2'
loop_
_atom_site_label
_atom_site_type_symbol
_atom_site_fract_x
_atom_site_fract_y
_atom_site_fract_z
Pm1 Pm 0.0000 0.0000 0.0000
Pm2 Pm 0.0000 0.5000 0.2208
Cd1 Cd 0.0000 0.0000 0.3954
Cu1 Cu 0.0000 0.0000 0.5627
Cu2 Cu 0.0000 0.5000 0.6473
Cu3 Cu 0.0000 0.5000 0.7936


Entry 3:
# Pm7Cd2Cu2 (GGA-PBE, optimized geometry)
# E_form, eV per atom: 0.007
# Density, g/cm³: 6.8
data_Pm7Cd2Cu2
_cell_length_a 8.0397
_cell_length_b 11.3843
_cell_length_c 7.3036
_cell_angle_alpha 90.00
_cell_angle_beta 90.00
_cell_angle_gamma 90.00
_symmetry_space_group_name_H-M 'C m m m'
_symmetry_Int_Tables_number 65
_symmetry_space_group_name_Hall '-C 2 2'
loop_
_atom_site_label
_atom_site_type_symbol
_atom_site_fract_x
_atom_site_fract_y
_atom_site_fract_z
Pm1 Pm 0.0000 0.0000 0.0000
Pm2 Pm 0.0000 0.5000 0.2440
Pm3 Pm 0.2500 0.2500 0.2587
Cd1 Cd 0.1718 0.0000 0.5000
Cu1 Cu 0.0000 0.2967 0.0000